Entry 1:
{"formula": "BaW3O9", "functional": "GGA+U", "state": "optimized geometry", "crystal_system": "triclinic", "e_tot_ev_per_atom": -7.465, "cell": [[5.909, 0.000, 0.000], [0.013, 7.841, 0.000], [0.017, 0.026, 8.413]], "species": ["Ba", "Ba", "W", "W", "W", "W", "W", "W", "O", "O", "O", "O", "O", "O", "O", "O", "O", "O", "O", "O", "O", "O", "O", "O", "O", "O"], "frac_coords": [[0.001, 0.249, 0.384], [0.999, 0.751, 0.616], [0.000, 0.000, 0.000], [0.000, 0.500, 0.000], [0.499, 0.003, 0.693], [0.499, 0.496, 0.693], [0.501, 0.504, 0.307], [0.501, 0.997, 0.307], [0.001, 0.257, 0.006], [0.242, 0.995, 0.827], [0.243, 0.503, 0.827], [0.247, 0.497, 0.174], [0.250, 0.006, 0.176], [0.288, 0.000, 0.501], [0.288, 0.500, 0.501], [0.496, 0.748, 0.683], [0.497, 0.250, 0.690], [0.503, 0.750, 0.310], [0.504, 0.252, 0.317], [0.712, 0.000, 0.499], [0.712, 0.500, 0.499], [0.750, 0.994, 0.824], [0.753, 0.503, 0.826], [0.757, 0.497, 0.173], [0.758, 0.005, 0.173], [0.999, 0.743, 0.994]]}



Entry 2:
{"formula": "FeBI2F", "functional": "GGA+U", "state": "optimized geometry", "crystal_system": "tetragonal", "e_tot_ev_per_atom": -3.052, "cell": [[5.995, 0.000, 0.000], [0.000, 5.995, 0.000], [0.000, 0.000, 3.797]], "species": ["Fe", "B", "I", "I", "F"], "frac_coords": [[0.000, 0.000, 0.000], [0.500, 0.500, 0.000], [0.000, 0.500, 0.500], [0.500, 0.000, 0.500], [0.000, 0.000, 0.500]]}



Number 1: total magnetization 4.01 μB per cell. Number 2: total magnetization 4.00 μB per cell.